A.
# CsCuI2N | the Alexandria database | PBE-GGA | relaxed
data_CsCuI2N
_chemical_formula_sum 'Cs1 Cu1 I2 N1'
_cell_length_a 6.9908
_cell_length_b 6.9908
_cell_length_c 4.7363
_cell_angle_alpha 90.00
_cell_angle_beta 90.00
_cell_angle_gamma 90.00
_symmetry_space_group_name_H-M 'P 4/m m m'
_symmetry_Int_Tables_number 123
_symmetry_space_group_name_Hall '-P 4 2'
loop_
_atom_site_label
_atom_site_type_symbol
_atom_site_fract_x
_atom_site_fract_y
_atom_site_fract_z
Cs1 Cs 0.0000 0.0000 0.0000
Cu1 Cu 0.5000 0.5000 0.5000
I1 I 0.0000 0.5000 0.0000
N1 N 0.0000 0.0000 0.5000
# - Crystal system: tetragonal
# - DOS(E_F): 4.536 states/eV/cell

=====

B.
# CsCuI2N | the Alexandria database | PBE-GGA | relaxed
data_CsCuI2N
_chemical_formula_sum 'Cs1 Cu1 I2 N1'
_cell_length_a 6.9559
_cell_length_b 6.9559
_cell_length_c 3.4945
_cell_angle_alpha 90.00
_cell_angle_beta 90.00
_cell_angle_gamma 90.00
_symmetry_space_group_name_H-M 'P 4/m m m'
_symmetry_Int_Tables_number 123
_symmetry_space_group_name_Hall '-P 4 2'
loop_
_atom_site_label
_atom_site_type_symbol
_atom_site_fract_x
_atom_site_fract_y
_atom_site_fract_z
Cs1 Cs 0.0000 0.0000 0.0000
Cu1 Cu 0.5000 0.5000 0.5000
I1 I 0.0000 0.5000 0.5000
N1 N 0.5000 0.5000 0.0000
# - Crystal system: tetragonal
# - DOS(E_F): 5.107 states/eV/cell

=====

What are the relative energies? In kJ/mol of atoms: A 116.2; B 0.0.

=====

A.
# CsCuI2O | the Alexandria database | PBE-GGA | relaxed
data_CsCuI2O
_chemical_formula_sum 'Cs1 Cu1 I2 O1'
_cell_length_a 6.8428
_cell_length_b 6.8428
_cell_length_c 3.5388
_cell_angle_alpha 90.00
_cell_angle_beta 90.00
_cell_angle_gamma 90.00
_symmetry_space_group_name_H-M 'P 4/m m m'
_symmetry_Int_Tables_number 123
_symmetry_space_group_name_Hall '-P 4 2'
loop_
_atom_site_label
_atom_site_type_symbol
_atom_site_fract_x
_atom_site_fract_y
_atom_site_fract_z
Cs1 Cs 0.0000 0.0000 0.0000
Cu1 Cu 0.5000 0.5000 0.5000
I1 I 0.0000 0.5000 0.5000
O1 O 0.5000 0.5000 0.0000
# - Crystal system: tetragonal
# - DOS(E_F): 4.436 states/eV/cell

=====

B.
# CsCuI2O | the Alexandria database | PBE-GGA | relaxed
data_CsCuI2O
_chemical_formula_sum 'Cs1 Cu1 I2 O1'
_cell_length_a 7.0494
_cell_length_b 7.0494
_cell_length_c 4.3646
_cell_angle_alpha 90.00
_cell_angle_beta 90.00
_cell_angle_gamma 90.00
_symmetry_space_group_name_H-M 'P 4/m m m'
_symmetry_Int_Tables_number 123
_symmetry_space_group_name_Hall '-P 4 2'
loop_
_atom_site_label
_atom_site_type_symbol
_atom_site_fract_x
_atom_site_fract_y
_atom_site_fract_z
Cs1 Cs 0.0000 0.0000 0.0000
Cu1 Cu 0.5000 0.5000 0.5000
I1 I 0.0000 0.5000 0.0000
O1 O 0.0000 0.0000 0.5000
# - Crystal system: tetragonal
# - DOS(E_F): 6.033 states/eV/cell

=====

What are the relative energies? In kJ/mol of atoms: A 0.0; B 108.6.